First-principles (GGA-PBE) data for a relaxed Tb2Pm2In crystal, as listed in the Alexandria database.

Summary:
Space group: I4/mmm, No. 139
Fermi-level density of states, states/eV/atom: 1.47
Formation energy, eV per atom: 0.297

abc: 9.251 9.251 9.251
angles: 152.57 152.57 39.17
Positions (direct):
Tb: 0.087 0.087 0.000
Tb: 0.913 0.913 0.000
Pm: 0.250 0.750 0.500
Pm: 0.750 0.250 0.500
In: 0.500 0.500 0.000

=====

First-principles (GGA-PBE) data for a relaxed TbPmIn crystal, as listed in the Alexandria database.

Summary:
Space group: P3m1, No. 156
Fermi-level density of states, states/eV/atom: 0.69
Formation energy, eV per atom: -0.241

abc: 5.284 5.284 3.695
angles: 90.00 90.00 120.00
Positions (direct):
Tb: 0.000 0.000 0.000
Pm: 0.333 0.667 0.559
In: 0.667 0.333 0.225

=====

Number 1: electronic total energy -20.0 eV/cell, theoretical density 7.2 g/cm3. Number 2: electronic total energy -12.8 eV/cell, theoretical density 7.8 g/cm3.